First-principles (PBE+U) data for an optimized crystal structure of Mn2Se2O7, as listed in Alexandria via LeMat-Bulk.

The structure belongs to space group P2_1/c (No. 14); the cell edges are 5.2579, 11.2872 and 5.7638 Å and the angles 90.00°, 110.95° and 90.00°. Symmetry generates all atoms from Mn at (0.0296, 0.1431, 0.4047), Se at (0.3375, 0.5959, 0.6961), O at (0.0925, 0.6864, 0.4855), O at (0.1598, 0.5423, 0.8820), O at (0.4324, 0.1919, 0.6208) and O at (0.5000, 0.0000, 0.0000).

The theoretical density is 3.9 g/cm3. The calculation puts the total magnetic moment at 0.909 μB per atom. The energy above the lowest structure with this stoichiometry comes out at 0.000 eV per atom.